This record from Alexandria describes a relaxed structure of SbXe2F9. The functional is PBE.

abc: 8.584 8.584 10.365
angles: 55.56 55.56 58.10
Sites, in units of the cell vectors:
1 F 0.864 0.658 0.242
2 F 0.658 0.864 0.742
3 F 0.482 0.900 0.410
4 F 0.875 0.229 0.643
5 Sb 0.043 0.770 0.192
6 F 0.229 0.875 0.143
7 F 0.466 0.521 0.382
8 F 0.161 0.289 0.091
9 Sb 0.770 0.043 0.692
10 F 0.521 0.466 0.882
11 Xe 0.672 0.487 0.163
12 Xe 0.487 0.672 0.663
13 F 0.148 0.823 0.956
14 F 0.718 0.940 0.928
15 F 0.940 0.718 0.428
16 F 0.032 0.855 0.652
17 F 0.823 0.148 0.456
18 Xe 0.098 0.304 0.751
19 F 0.289 0.161 0.591
20 Xe 0.304 0.098 0.251
21 F 0.240 0.511 0.226
22 F 0.511 0.240 0.726
23 F 0.855 0.032 0.152
24 F 0.900 0.482 0.910

Properties
For the calculated density, the calculation gives 3.7 g/cm³. The value obtained for the spin magnetization is 0.00 μB/f.u. The value obtained for the raw total energy is -3.154 eV/atom. For the formation energy without anion corrections, the calculation gives -1.402 eV per atom.